1.
# Sr2Si2Au

Crystalline Sr2Si2Au at its relaxed geometry (PBE-GGA, the Alexandria database).

Results
E ... -3.68 eV/atom
Raw formation energy ... -0.184 eV per atom
Energy above the most stable polymorph in this dataset ... 1.92 eV/f.u.

Unit cell a=6.2008 b=6.2008 c=7.3067 alpha=90.00 beta=90.00 gamma=90.00
Space group I4/mmm (No. 139)
Asymmetric unit:
Sr  0.0000  0.5000  0.2500 x4
Si  0.0000  0.0000  0.1597 x4
Au  0.0000  0.0000  0.5000 x2



2.
# Nd2Ho3

Crystalline Nd2Ho3 at its relaxed geometry (PBE-GGA, the Alexandria database).

Results
E ... -4.63 eV/atom
Formation enthalpy at 0 K ... 0.020 eV per atom

Unit cell a=11.3323 b=5.0706 c=8.0111 alpha=90.00 beta=134.84 gamma=90.00
Space group C2/m (No. 12)
Asymmetric unit:
Nd  0.2015  0.0000  0.3005 x4
Ho  0.0000  0.0000  0.5000 x2
Ho  0.1015  0.5000  0.9016 x4



3.
# Dy6Te3Pt2Se

Crystalline Dy6Te3Pt2Se at its relaxed geometry (PBE-GGA, the Alexandria database).

Results
E ... -5.77 eV/atom
Raw formation energy ... -1.384 eV per atom

Unit cell a=7.2254 b=12.5495 c=7.6313 alpha=90.00 beta=108.36 gamma=90.00
Space group C2/m (No. 12)
Asymmetric unit:
Dy  0.2225  0.0000  0.2147 x4
Dy  0.2477  0.3256  0.2168 x8
Te  0.0000  0.0000  0.5000 x2
Te  0.0000  0.3396  0.5000 x4
Pt  0.0000  0.1680  0.0000 x4
Se  0.0000  0.5000  0.0000 x2



4.
# EuTlZn

Crystalline EuTlZn at its relaxed geometry (PBE-GGA, the Alexandria database).

Results
E ... -4.84 eV/atom
Formation enthalpy at 0 K ... -0.200 eV per atom

Unit cell a=3.7340 b=3.7340 c=11.5153 alpha=90.00 beta=90.00 gamma=90.00
Space group I4mm (No. 107)
Asymmetric unit:
Eu  0.0000  0.0000  0.0000 x2
Tl  0.0000  0.0000  0.6977 x2
Zn  0.0000  0.0000  0.3338 x2



5.
# Be2CrCu

Crystalline Be2CrCu at its relaxed geometry (PBE-GGA, the Alexandria database).

Results
E ... -4.77 eV/atom
Formation enthalpy at 0 K ... 0.523 eV per atom

Unit cell a=6.0422 b=6.0422 c=4.8577 alpha=90.00 beta=90.00 gamma=90.00
Space group I-42d (No. 122)
Asymmetric unit:
Be  0.2322  0.2500  0.1250 x8
Cr  0.0000  0.0000  0.5000 x4
Cu  0.0000  0.0000  0.0000 x4



6.
# Ce4PmN5

Crystalline Ce4PmN5 at its relaxed geometry (PBE-GGA, the Alexandria database).

Results
E ... -8.50 eV/atom
Raw formation energy ... -1.488 eV per atom

Unit cell a=3.5807 b=3.5807 c=25.2255 alpha=90.00 beta=90.00 gamma=90.00
Space group I4/mmm (No. 139)
Asymmetric unit:
Ce  0.0000  0.0000  0.1000 x4
Ce  0.0000  0.0000  0.2999 x4
Pm  0.0000  0.0000  0.5000 x2
N  0.0000  0.0000  0.0000 x2
N  0.0000  0.0000  0.1997 x4
N  0.0000  0.0000  0.3988 x4



7.
# TaBeTe2

Crystalline TaBeTe2 at its relaxed geometry (PBE-GGA, the Alexandria database).

Results
E ... -5.07 eV/atom
Raw formation energy ... 0.392 eV per atom

Unit cell a=9.1170 b=3.5017 c=5.3973 alpha=90.00 beta=92.58 gamma=90.00
Space group C2/m (No. 12)
Asymmetric unit:
Ta  0.0000  0.0000  0.0000 x2
Be  0.0000  0.5000  0.5000 x2
Te  0.2028  0.5000  0.2383 x4



8.
# NaCa2GaSe

Crystalline NaCa2GaSe at its relaxed geometry (PBE-GGA, the Alexandria database).

Results
E ... -2.49 eV/atom
Raw formation energy ... -0.123 eV per atom

Unit cell a=5.7548 b=5.7548 c=5.2785 alpha=90.00 beta=90.00 gamma=90.00
Space group P4/mmm (No. 123)
Asymmetric unit:
Na  0.0000  0.0000  0.0000 x1
Ca  0.0000  0.5000  0.5000 x2
Ga  0.5000  0.5000  0.5000 x1
Se  0.5000  0.5000  0.0000 x1